Entry from Alexandria: an optimized crystal structure of KBa3Na12 (PBE).

Lattice parameters (Å, degrees): 5.6511 5.6511 23.1006 90.00 90.00 90.00
With the nearest neighbours (Å) after each atom.
Atoms (fractional coordinates):
Na  0.5000  0.0000  0.6243  8 Na 4.00-4.10, 4 Ba 4.03-4.04
Na  0.5000  0.5000  0.7530  4 Ba 4.00, 8 Na 4.02-4.10
Na  0.0000  0.5000  0.3757  8 Na 4.00-4.10, 4 Ba 4.03-4.04
Na  0.0000  0.5000  0.6243  8 Na 4.00-4.10, 4 Ba 4.03-4.04
Na  0.5000  0.5000  0.0000  4 K 4.00, 8 Na 4.01
Na  0.5000  0.5000  0.2470  4 Ba 4.00, 8 Na 4.02-4.10
Na  0.0000  0.5000  0.8769  8 Na 4.00-4.02, 2 K 4.01, 2 Ba 4.09
Na  0.5000  0.0000  0.8769  8 Na 4.00-4.02, 2 K 4.01, 2 Ba 4.09
Na  0.5000  0.0000  0.1231  8 Na 4.00-4.02, 2 K 4.01, 2 Ba 4.09
Na  0.5000  0.5000  0.5000  4 Ba 4.00, 8 Na 4.03
Na  0.0000  0.5000  0.1231  8 Na 4.00-4.02, 2 K 4.01, 2 Ba 4.09
Na  0.5000  0.0000  0.3757  8 Na 4.00-4.10, 4 Ba 4.03-4.04
Ba  0.0000  0.0000  0.5000  12 Na 4.00-4.03
Ba  0.0000  0.0000  0.2509  12 Na 4.00-4.09
Ba  0.0000  0.0000  0.7491  12 Na 4.00-4.09
K  0.0000  0.0000  0.0000  12 Na 4.00-4.01

Summary:
space group	P4/mmm (123)
total DFT energy (no corrections)	-1.37	eV/atom